(1)
ScTaRu: relaxed, GGA-PBE.

a = 4.4034 Å, b = 4.4034 Å, c = 4.4034 Å
α = 60.00°, β = 60.00°, γ = 60.00°
With the nearest neighbours (Å) after each atom.
Fractional positions:
Sc (0.0000, 0.0000, 0.0000)  4 Ru 2.70
Ta (0.5000, 0.5000, 0.5000)  4 Ru 2.70
Ru (0.2500, 0.2500, 0.2500)  4 Ta 2.70, 4 Sc 2.70

Crystal system   cubic
Magnetization   0.000 μB per formula unit
Offset from the most stable computed form   391 meV per atom


(2)
Tb2EuDy: relaxed, GGA-PBE.

a = 12.7176 Å, b = 12.7176 Å, c = 12.7176 Å
α = 16.01°, β = 16.01°, γ = 16.01°
With the nearest neighbours (Å) after each atom.
Fractional positions:
Tb (0.0913, 0.0913, 0.0913)  1 Eu 3.44, 3 Dy 3.50, 6 Tb 3.54
Tb (0.9087, 0.9087, 0.9087)  1 Eu 3.44, 3 Dy 3.50, 6 Tb 3.54
Eu (0.0000, 0.0000, 0.0000)  2 Tb 3.44, 6 Eu 3.54
Dy (0.5000, 0.5000, 0.5000)  6 Tb 3.50, 6 Dy 3.54

Crystal system   trigonal
Magnetization   7.776 μB per formula unit
Offset from the most stable computed form   100 meV per atom


(3)
Co2Ni2As: relaxed, GGA-PBE.

a = 5.8479 Å, b = 5.8479 Å, c = 3.6285 Å
α = 90.00°, β = 90.00°, γ = 90.00°
With the nearest neighbours (Å) after each atom.
Fractional positions:
Co (0.1385, 0.3615, 0.0000)  2 As 2.26, 1 Co 2.29, 6 Ni 2.49-2.51
Co (0.3615, 0.8615, 0.0000)  2 As 2.26, 1 Co 2.29, 6 Ni 2.49-2.51
Co (0.6385, 0.1385, 0.0000)  2 As 2.26, 1 Co 2.29, 6 Ni 2.49-2.51
Co (0.8615, 0.6385, 0.0000)  2 As 2.26, 1 Co 2.29, 6 Ni 2.49-2.51
Ni (0.1521, 0.6521, 0.5000)  6 Co 2.49-2.51, 1 Ni 2.52
Ni (0.3479, 0.1521, 0.5000)  6 Co 2.49-2.51, 1 Ni 2.52
Ni (0.6521, 0.8479, 0.5000)  6 Co 2.49-2.51, 1 Ni 2.52
Ni (0.8479, 0.3479, 0.5000)  6 Co 2.49-2.51, 1 Ni 2.52
As (0.0000, 0.0000, 0.0000)  4 Co 2.26
As (0.5000, 0.5000, 0.0000)  4 Co 2.26

Crystal system   tetragonal
Magnetization   3.113 μB per formula unit
Total energy   -5.95 eV per atom


(4)
NpSe2Br8: relaxed, GGA-PBE.

a = 8.3673 Å, b = 8.3673 Å, c = 8.0622 Å
α = 103.48°, β = 103.48°, γ = 61.58°
With the nearest neighbours (Å) after each atom.
Fractional positions:
Np (0.0000, 0.0000, 0.0000)  6 Br 2.70-2.96
Se (0.1613, 0.1613, 0.5077)  2 Br 2.31-2.43
Se (0.8387, 0.8387, 0.4923)  2 Br 2.31-2.43
Br (0.1690, 0.7289, 0.1983)  1 Np 2.70
Br (0.1988, 0.1988, 0.2316)  1 Se 2.43
Br (0.2711, 0.8310, 0.8017)  1 Np 2.70
Br (0.3144, 0.3144, 0.6968)  1 Se 2.31
Br (0.6856, 0.6856, 0.3032)  1 Se 2.31
Br (0.7289, 0.1690, 0.1983)  1 Np 2.70
Br (0.8012, 0.8012, 0.7684)  1 Se 2.43
Br (0.8310, 0.2711, 0.8017)  1 Np 2.70

Crystal system   monoclinic
E_form (uncorrected)   -497 meV per atom
Magnetization   2.998 μB per formula unit
Offset from the most stable computed form   93 meV per atom


(5)
Sm2YTm5Th: relaxed, GGA-PBE.

a = 9.7313 Å, b = 9.7313 Å, c = 9.7313 Å
α = 127.00°, β = 127.00°, γ = 78.26°
With the nearest neighbours (Å) after each atom.
Fractional positions:
Sm (0.1150, 0.6150, 0.7299)  1 Sm 2.82, 2 Tm 2.97
Sm (0.3850, 0.1150, 0.5000)  1 Sm 2.82, 2 Tm 2.97
Sm (0.6150, 0.8850, 0.5000)  1 Sm 2.82, 2 Tm 2.97
Sm (0.8850, 0.3850, 0.2701)  1 Sm 2.82, 2 Tm 2.97
Y (0.2500, 0.7500, 0.5000)  4 Tm 3.11
Y (0.7500, 0.2500, 0.5000)  4 Tm 3.11
Tm (0.0000, 0.0000, 0.0000)  4 Sm 3.49, 8 Tm 3.74, 2 Th 3.77
Tm (0.0746, 0.1497, 0.5000)  1 Sm 2.97, 1 Y 3.11
Tm (0.1497, 0.6497, 0.0751)  1 Sm 2.97, 1 Y 3.11
Tm (0.3503, 0.4254, 0.5000)  1 Sm 2.97, 1 Y 3.11
Tm (0.4254, 0.9254, 0.0751)  1 Sm 2.97, 1 Y 3.11
Tm (0.5000, 0.5000, 0.0000)  4 Sm 3.49, 8 Tm 3.74, 2 Th 3.77
Tm (0.5746, 0.0746, 0.9249)  1 Sm 2.97, 1 Y 3.11
Tm (0.6497, 0.5746, 0.5000)  1 Sm 2.97, 1 Y 3.11
Tm (0.8503, 0.3503, 0.9249)  1 Sm 2.97, 1 Y 3.11
Tm (0.9254, 0.8503, 0.5000)  1 Sm 2.97, 1 Y 3.11
Th (0.2500, 0.2500, 0.0000)  10 Tm 3.54-3.77
Th (0.7500, 0.7500, 0.0000)  10 Tm 3.54-3.77

Crystal system   tetragonal
Magnetization   0.000 μB per formula unit
Total energy   -4.78 eV per atom


(6)
Ho6HgSe2S3: relaxed, GGA-PBE.

a = 8.9919 Å, b = 8.9919 Å, c = 8.2114 Å
α = 103.37°, β = 103.37°, γ = 25.17°
With the nearest neighbours (Å) after each atom.
Fractional positions:
Ho (0.0030, 0.0030, 0.2335)  3 S 2.73-2.83, 1 Se 2.94, 2 Hg 2.95
Ho (0.3292, 0.3292, 0.4275)  3 S 2.74-2.78, 1 Hg 2.91, 2 Se 2.93
Ho (0.3385, 0.3385, 0.9060)  3 S 2.75-2.76, 3 Se 2.89-2.90
Ho (0.6615, 0.6615, 0.0940)  3 S 2.75-2.76, 3 Se 2.89-2.90
Ho (0.6708, 0.6708, 0.5725)  3 S 2.74-2.78, 1 Hg 2.91, 2 Se 2.93
Ho (0.9970, 0.9970, 0.7665)  3 S 2.73-2.83, 1 Se 2.94, 2 Hg 2.95
Hg (0.5000, 0.5000, 0.5000)  6 Ho 2.91-2.95
Se (0.1691, 0.1691, 0.8377)  6 Ho 2.89-2.94
Se (0.8309, 0.8309, 0.1623)  6 Ho 2.89-2.94
S (0.1689, 0.1689, 0.3316)  6 Ho 2.74-2.83
S (0.5000, 0.5000, 0.0000)  6 Ho 2.73-2.76
S (0.8311, 0.8311, 0.6684)  6 Ho 2.74-2.83

Crystal system   monoclinic
E_form (uncorrected)   -1613 meV per atom
Magnetization   0.000 μB per formula unit


Number 1: V 20.1 A^3/atom. Number 2: V 34.1 A^3/atom. Number 3: V 12.4 A^3/atom. Number 4: V 43.4 A^3/atom. Number 5: V 31.6 A^3/atom. Number 6: V 22.9 A^3/atom.